(1)
Material: GeOsNO
Method: DFT, PBE
State: relaxed

Cell and atoms, written as CIF:
```
data_GeOsNO
_chemical_formula_sum 'Ge2 Os2 N2 O2'
_cell_length_a 2.7834
_cell_length_b 4.5667
_cell_length_c 6.9291
_cell_angle_alpha 90.00
_cell_angle_beta 90.00
_cell_angle_gamma 90.00
_symmetry_space_group_name_H-M 'P m c 21'
_symmetry_Int_Tables_number 26
_symmetry_space_group_name_Hall 'P 2c -2'
loop_
_atom_site_label
_atom_site_type_symbol
_atom_site_fract_x
_atom_site_fract_y
_atom_site_fract_z
Ge1 Ge 0.0000 0.0727 0.0000
Os1 Os 0.5000 0.4827 0.1565
N1 N 0.0000 0.2190 0.7308
O1 O 0.5000 0.2660 0.4126
```

(2)
Material: PrNdIBr2N
Method: DFT, PBE
State: relaxed

Cell and atoms, written as CIF:
```
data_PrNdIBr2N
_chemical_formula_sum 'Pr4 Nd4 I4 Br8 N4'
_cell_length_a 18.6885
_cell_length_b 4.1008
_cell_length_c 11.8951
_cell_angle_alpha 90.00
_cell_angle_beta 123.66
_cell_angle_gamma 90.00
_symmetry_space_group_name_H-M 'C 1 2/m 1'
_symmetry_Int_Tables_number 12
_symmetry_space_group_name_Hall '-C 2y'
loop_
_atom_site_label
_atom_site_type_symbol
_atom_site_fract_x
_atom_site_fract_y
_atom_site_fract_z
Pr1 Pr 0.1348 0.0000 0.2874
Nd1 Nd 0.0778 0.5000 0.9609
I1 I 0.0465 0.0000 0.7305
Br1 Br 0.1697 0.5000 0.5129
Br2 Br 0.2147 0.0000 0.1201
N1 N 0.0720 0.5000 0.1534
```

| no. | energy above the lowest structure with this stoichiometry (meV/atom) |
| --- | --- |
| 1 | 0 |
| 2 | 0 |